A relaxed structure of Ag2AsIrC. Source: the Alexandria database, functional GGA-PBE.

abc: 4.9174 3.7720 4.9174
angles: 90.00 90.00 90.00
Closest atoms and distances in Å follow each position.
Fractional coordinates of all 5 atoms:
As 0.0000 0.0000 0.0000  2 C 1.89
Ir 0.5000 0.5000 0.5000  8 Ag 3.10
C 0.0000 0.5000 0.0000  2 As 1.89
Ag 0.0000 0.0000 0.5000  2 As 2.46
Ag 0.5000 0.0000 0.0000  2 As 2.46

The value obtained for the density of states at the Fermi level is 3.9 states/eV/cell. Its space-group type is P4/mmm, No. 123. As for the electronic total energy: -19.53 eV/cell.